Entry 1:
Here is a relaxed structure of Pa2AuSe2N2 from Alexandria. Energies are from PBE.

Formation energy without anion corrections = -7.4 eV per formula unit

a b c (Å): 3.856 3.856 12.291
angles (deg): 90.00 90.00 120.00
Element x y z (fractional)
Pa1 0.667 0.333 0.193
Pa2 0.333 0.667 0.807
Au1 0.000 0.000 0.000
Se1 0.000 0.000 0.339
Se2 0.000 0.000 0.661
N1 0.667 0.333 0.847
N2 0.333 0.667 0.153

***

Entry 2:
Here is a relaxed structure of PaSnAuN from Alexandria. Energies are from PBE.

Formation energy without anion corrections = -3.4 eV per formula unit

a b c (Å): 4.007 4.007 10.037
angles (deg): 90.00 90.00 90.00
Element x y z (fractional)
Pa1 0.000 0.500 0.887
Pa2 0.500 0.000 0.113
Sn1 0.500 0.000 0.705
Sn2 0.000 0.500 0.295
Au1 0.000 0.000 0.500
Au2 0.500 0.500 0.500
N1 0.500 0.500 0.000
N2 0.000 0.000 0.000

***

Taking the records one at a time from the top gives size of the total moment values of 0.0, 0.0 μB per formula unit.
Taking the records one at a time from the top gives electronic total energy values of -7.619, -7.134 eV per atom.
Taking the records one at a time from the top gives DOS(E_F) values of 2.2, 3.1 states/eV/f.u..